# 1
# AcNd6Er2

An optimized crystal structure of AcNd6Er2 (PBE, Alexandria).

Cell: 3.6822 3.6822 27.3576 Å, 90.00 90.00 120.00°
Element x y z (fractional)
Ac 0.3333 0.6667 0.0000
Nd 0.6667 0.3333 0.8830
Nd 0.3333 0.6667 0.4341
Nd 0.3333 0.6667 0.7737
Nd 0.3333 0.6667 0.2263
Nd 0.3333 0.6667 0.5659
Nd 0.6667 0.3333 0.1170
Er 0.6667 0.3333 0.3323
Er 0.6667 0.3333 0.6677

Computed properties:
E_form ... 0.07 eV per atom
Energy above the lowest structure with this stoichiometry ... 12 meV per atom
Mass density ... 7.38 g/cm3

***

# 2
# Ac2Nd4Er5

An optimized crystal structure of Ac2Nd4Er5 (PBE, Alexandria).

Cell: 3.6708 8.6762 14.2908 Å, 88.08 120.95 90.00°
Element x y z (fractional)
Ac 0.6627 0.7320 0.8307
Ac 0.3373 0.2680 0.1693
Nd 0.9500 0.2062 0.4750
Nd 0.2513 0.6809 0.1263
Nd 0.0500 0.7938 0.5250
Nd 0.7487 0.3191 0.8737
Er 0.7816 0.4664 0.6405
Er 0.2184 0.5336 0.3595
Er 0.9144 0.0631 0.7069
Er 0.5000 0.0000 0.0000
Er 0.0856 0.9369 0.2931

Computed properties:
E_form ... 0.08 eV per atom
Mass density ... 7.95 g/cm3